A plane-wave DFT calculation with GGA-PBE was carried out for La4Pm2Dy5 after structural relaxation.

## Properties
Space group = No. 12
Calculated formation energy = 83 meV/atom
Uncorrected energy = -4.66 eV/atom
Distance to the lowest polymorph of the same formula = 0 meV/atom

POSCAR file:
```
La4Pm2Dy5
1.0
-1.2229 2.6237 -2.0735
-10.8649 -1.5727 4.4177
3.0288 4.6896 7.2050
La Pm Dy
4 2 5
direct
0.9633 0.7392 0.9267
0.3593 0.2029 0.7186
0.6407 0.7971 0.2814
0.0367 0.2608 0.0733
0.2855 0.6457 0.5710
0.7145 0.3543 0.4290
0.8221 0.9310 0.6442
0.9035 0.4595 0.8069
0.1779 0.0690 0.3558
0.5000 0.0000 0.0000
0.0965 0.5405 0.1931
```